# 1
GGA-PBE Rb3PaGe2O9, optimized geometry; SG = P-3m1 (164); VASP energy = -0.2285 hartree per atom; ΔE_f (raw) = -173.81 kJ/mol of atoms
1.0
5.799 0.000 0.000
-2.899 5.022 0.000
0.000 0.000 7.118
Rb Pa Ge O
3 1 2 9
direct
0.000 0.000 0.000
0.333 0.667 0.674
0.667 0.333 0.326
0.000 0.000 0.500
0.333 0.667 0.169
0.667 0.333 0.831
0.000 0.500 0.000
0.176 0.351 0.318
0.176 0.824 0.318
0.351 0.176 0.682
0.500 0.000 0.000
0.500 0.500 0.000
0.649 0.824 0.318
0.824 0.176 0.682
0.824 0.649 0.682


# 2
GGA-PBE Ac3BiRhN, optimized geometry; SG = P2_1/m (11); VASP energy = -0.2261 hartree per atom; ΔE_f (raw) = -81.04 kJ/mol of atoms
1.0
9.230 0.000 0.000
0.000 4.506 0.000
-2.597 0.000 9.730
Ac Bi Rh N
6 2 2 2
direct
0.056 0.250 0.347
0.330 0.250 0.971
0.391 0.750 0.654
0.609 0.250 0.346
0.670 0.750 0.029
0.944 0.750 0.653
0.297 0.750 0.263
0.703 0.250 0.737
0.161 0.250 0.640
0.839 0.750 0.360
0.412 0.750 0.894
0.588 0.250 0.106


# 3
GGA-PBE CsDyPuI6, optimized geometry; SG = P312 (149); VASP energy = -0.1672 hartree per atom; ΔE_f (raw) = -127.07 kJ/mol of atoms
1.0
8.033 0.000 0.000
-4.016 6.957 0.000
0.000 0.000 8.739
Cs Dy Pu I
1 1 1 6
direct
0.000 0.000 0.000
0.667 0.333 0.500
0.333 0.667 0.500
0.374 0.014 0.707
0.374 0.360 0.293
0.640 0.014 0.293
0.640 0.626 0.707
0.986 0.360 0.707
0.986 0.626 0.293


# 4
GGA-PBE InOs2Cl, optimized geometry; SG = Cmmm (65); VASP energy = -0.1990 hartree per atom; ΔE_f (raw) = 129.80 kJ/mol of atoms; excess energy over the best structure of this formula in the dataset = 104.2 kJ per mole of atoms
1.0
5.755 0.000 0.000
0.000 7.931 0.000
0.000 0.000 2.918
In Os Cl
2 4 2
direct
0.000 0.000 0.000
0.500 0.500 0.000
0.250 0.250 0.500
0.250 0.750 0.500
0.750 0.250 0.500
0.750 0.750 0.500
0.000 0.500 0.000
0.500 0.000 0.000


# 5
GGA-PBE Ni2Os, optimized geometry; SG = P-3m1 (164); VASP energy = -0.2741 hartree per atom; E_form = 0.139 eV per atom; excess energy over the best structure of this formula in the dataset = 7.3 kJ per mole of atoms
1.0
2.628 0.000 0.000
-1.314 2.276 0.000
0.000 0.000 6.185
Ni Os
2 1
direct
0.333 0.667 0.337
0.667 0.333 0.663
0.000 0.000 0.000


# 6
GGA-PBE Ba8HgP3I4, optimized geometry; SG = R-3m (166); VASP energy = -0.1340 hartree per atom; ΔE_f (raw) = -122.00 kJ/mol of atoms
1.0
4.838 2.793 8.406
-4.838 2.793 8.406
0.000 -5.586 8.406
Ba Hg P I
8 1 3 4
direct
0.221 0.742 0.742
0.233 0.233 0.233
0.258 0.258 0.779
0.258 0.779 0.258
0.742 0.221 0.742
0.742 0.742 0.221
0.767 0.767 0.767
0.779 0.258 0.258
0.500 0.500 0.500
0.000 0.000 0.500
0.000 0.500 0.000
0.500 0.000 0.000
0.000 0.000 0.000
0.000 0.500 0.500
0.500 0.000 0.500
0.500 0.500 0.000